Entry 1:
Density functional theory data (PBE) for a geometry-optimized AlHgTe structure.

```
12
Lattice="12.539 0.000 0.000 0.000 5.271 0.000 -0.004 0.000 5.287" Properties=species:S:1:pos:R:3 pbc="T T T"
Al 0.790 0.000 1.312
Al 5.476 2.635 3.975
Al 7.060 2.635 1.312
Al 11.745 0.000 3.975
Hg 1.819 0.000 3.956
Hg 4.447 2.635 1.331
Hg 8.089 2.635 3.956
Hg 10.717 0.000 1.331
Te 1.615 2.635 1.330
Te 4.651 0.000 3.957
Te 7.885 0.000 1.330
Te 10.920 2.635 3.957
```

The calculated volume comes out at 349.4 Å³/cell. As for the uncorrected formation energy: -0.03 eV per atom. Its space group is C2/m (12).

---

Entry 2:
Density functional theory data (PBE) for a geometry-optimized AlHg2Te structure.

```
4
Lattice="3.369 0.000 0.000 0.000 3.369 0.000 0.000 0.000 8.793" Properties=species:S:1:pos:R:3 pbc="T T T"
Al 0.000 0.000 0.000
Hg 1.684 1.684 1.846
Hg 1.684 1.684 6.947
Te 0.000 0.000 4.397
```

The calculated volume comes out at 99.8 Å³/cell. As for the uncorrected formation energy: 0.17 eV per atom. Its space group is P4/mmm (123).

---

Entry 3:
Density functional theory data (PBE) for a geometry-optimized Al2HgTe structure.

```
4
Lattice="3.081 0.000 0.000 0.000 3.969 0.000 0.000 0.000 7.510" Properties=species:S:1:pos:R:3 pbc="T T T"
Al 0.000 0.000 1.580
Al 0.000 0.000 5.930
Hg 1.540 1.984 0.000
Te 0.000 1.984 3.755
```

The calculated volume comes out at 91.8 Å³/cell. As for the uncorrected formation energy: 0.09 eV per atom. Its space group is Pmmm (47).

---

Entry 4:
Density functional theory data (PBE) for a geometry-optimized Al2HgTe structure.

```
16
Lattice="7.197 0.000 0.000 0.000 7.197 0.000 0.000 0.000 7.197" Properties=species:S:1:pos:R:3 pbc="T T T"
Al 1.799 1.799 1.799
Al 1.799 1.799 5.397
Al 1.799 5.397 1.799
Al 1.799 5.397 5.397
Al 5.397 1.799 1.799
Al 5.397 1.799 5.397
Al 5.397 5.397 1.799
Al 5.397 5.397 5.397
Hg 0.000 0.000 0.000
Hg 0.000 3.598 3.598
Hg 3.598 0.000 3.598
Hg 3.598 3.598 0.000
Te 0.000 0.000 3.598
Te 0.000 3.598 0.000
Te 3.598 0.000 0.000
Te 3.598 3.598 3.598
```

The calculated volume comes out at 372.7 Å³/cell. As for the uncorrected formation energy: 0.22 eV per atom. Its space group is Fm-3m (225).

---

Entry 5:
Density functional theory data (PBE) for a geometry-optimized AlHgTe2 structure.

```
8
Lattice="5.747 0.000 0.000 0.000 5.807 0.000 0.000 0.000 6.970" Properties=species:S:1:pos:R:3 pbc="T T T"
Al 0.000 0.000 0.000
Al 0.000 2.903 3.485
Hg 2.873 0.000 3.363
Hg 2.873 2.903 6.848
Te 0.000 0.000 4.202
Te 0.000 2.903 0.717
Te 2.873 0.000 0.442
Te 2.873 2.903 3.927
```

The calculated volume comes out at 232.6 Å³/cell. As for the uncorrected formation energy: -0.11 eV per atom. Its space group is Amm2 (38).

---

Entry 6:
Density functional theory data (PBE) for a geometry-optimized AlHg2Te structure.

```
4
Lattice="3.817 0.000 0.000 0.000 3.817 0.000 0.000 0.000 8.504" Properties=species:S:1:pos:R:3 pbc="T T T"
Al 0.000 0.000 0.000
Hg 0.000 0.000 5.853
Hg 1.909 1.909 4.179
Te 1.909 1.909 0.819
```

The calculated volume comes out at 123.9 Å³/cell. As for the uncorrected formation energy: -0.06 eV per atom. Its space group is P4mm (99).

---

Entry 7:
Density functional theory data (PBE) for a geometry-optimized AlHgTe structure.

```
12
Lattice="3.683 0.000 0.000 0.000 5.409 0.000 0.000 0.000 16.510" Properties=species:S:1:pos:R:3 pbc="T T T"
Al 0.000 0.000 0.000
Al 0.000 2.705 8.255
Al 1.841 0.000 8.255
Al 1.841 2.705 0.000
Hg 0.000 0.000 5.743
Hg 0.000 2.705 13.999
Hg 1.841 0.000 13.999
Hg 1.841 2.705 5.743
Te 0.000 0.000 10.426
Te 0.000 2.705 2.171
Te 1.841 0.000 2.171
Te 1.841 2.705 10.426
```

The calculated volume comes out at 328.9 Å³/cell. As for the uncorrected formation energy: 0.17 eV per atom. Its space group is Fmm2 (42).

---

Entry 8:
Density functional theory data (PBE) for a geometry-optimized AlHg2Te structure.

```
4
Lattice="3.164 0.000 0.000 0.000 3.931 0.000 -0.801 0.000 8.772" Properties=species:S:1:pos:R:3 pbc="T T T"
Al 0.000 0.000 0.000
Hg 0.550 0.000 4.747
Hg 0.796 1.966 7.175
Te 0.004 1.966 1.915
```

The calculated volume comes out at 109.1 Å³/cell. As for the uncorrected formation energy: 0.01 eV per atom. Its space group is Pm (6).

---

Entry 9:
Density functional theory data (PBE) for a geometry-optimized Al3HgTe structure.

```
5
Lattice="5.098 0.000 0.000 0.000 5.098 0.000 0.000 0.000 5.098" Properties=species:S:1:pos:R:3 pbc="T T T"
Al 0.000 0.000 2.549
Al 0.000 2.549 0.000
Al 2.549 0.000 0.000
Hg 0.000 0.000 0.000
Te 2.549 2.549 2.549
```

The calculated volume comes out at 132.5 Å³/cell. As for the uncorrected formation energy: 0.40 eV per atom. Its space group is Pm-3m (221).

---

Entry 10:
Density functional theory data (PBE) for a geometry-optimized AlHgTe2 structure.

```
8
Lattice="3.835 0.000 0.000 0.000 5.063 0.000 0.000 0.000 12.086" Properties=species:S:1:pos:R:3 pbc="T T T"
Al 0.000 0.000 0.000
Al 1.917 2.531 6.043
Hg 0.000 0.000 6.043
Hg 1.917 2.531 0.000
Te 0.000 2.531 4.089
Te 0.000 2.531 7.998
Te 1.917 0.000 1.955
Te 1.917 0.000 10.132
```

The calculated volume comes out at 234.7 Å³/cell. As for the uncorrected formation energy: 0.02 eV per atom. Its space group is Immm (71).

---

Entry 11:
Density functional theory data (PBE) for a geometry-optimized AlHgTe2 structure.

```
8
Lattice="3.922 0.000 0.000 0.000 5.480 0.000 0.000 0.000 10.110" Properties=species:S:1:pos:R:3 pbc="T T T"
Al 0.000 0.000 0.000
Al 1.961 2.740 0.000
Hg 0.000 2.740 2.025
Hg 1.961 0.000 2.025
Te 0.000 0.000 4.550
Te 0.000 2.740 8.134
Te 1.961 0.000 8.134
Te 1.961 2.740 4.550
```

The calculated volume comes out at 217.3 Å³/cell. As for the uncorrected formation energy: 0.13 eV per atom. Its space group is Cmm2 (35).

---

Entry 12:
Density functional theory data (PBE) for a geometry-optimized AlHg2Te structure.

```
8
Lattice="3.816 0.000 0.000 0.000 4.528 0.000 0.000 0.000 12.215" Properties=species:S:1:pos:R:3 pbc="T T T"
Al 0.000 0.000 0.000
Al 1.908 2.264 6.107
Hg 0.000 0.000 6.613
Hg 0.000 2.264 8.701
Hg 1.908 0.000 2.594
Hg 1.908 2.264 0.506
Te 0.000 2.264 4.098
Te 1.908 0.000 10.205
```

The calculated volume comes out at 211.0 Å³/cell. As for the uncorrected formation energy: 0.05 eV per atom. Its space group is Imm2 (44).

---

Entry 13:
Density functional theory data (PBE) for a geometry-optimized Al2HgTe structure.

```
8
Lattice="8.243 0.000 0.000 0.000 8.270 0.000 0.000 0.000 2.918" Properties=species:S:1:pos:R:3 pbc="T T T"
Al 2.061 2.067 0.000
Al 2.061 6.202 0.000
Al 6.182 2.067 0.000
Al 6.182 6.202 0.000
Hg 0.000 0.000 0.000
Hg 4.121 4.135 0.000
Te 0.000 4.135 0.000
Te 4.121 0.000 0.000
```

The calculated volume comes out at 198.9 Å³/cell. As for the uncorrected formation energy: 0.15 eV per atom. Its space group is Cmmm (65).

---

Entry 14:
Density functional theory data (PBE) for a geometry-optimized AlHgTe3 structure.

```
5
Lattice="6.840 0.000 0.000 0.000 3.791 0.000 -3.406 0.000 6.265" Properties=species:S:1:pos:R:3 pbc="T T T"
Al 0.000 0.000 0.000
Hg 3.257 1.896 2.323
Te -2.076 1.896 4.776
Te 0.975 0.000 2.468
Te 1.433 1.896 6.247
```

The calculated volume comes out at 162.5 Å³/cell. As for the uncorrected formation energy: -0.15 eV per atom. Its space group is Pm (6).